No. 1
The following is a GGA-PBE calculation of a relaxed NpSnPb2S5 crystal, from Alexandria.

The structure belongs to space group Cmc2_1 (No. 36); the cell edges are 4.0280, 16.9611 and 15.6224 Å and the angles 90.00°, 90.00° and 90.00°. The asymmetric unit holds Np at (0.0000, 0.2230, 0.0000), Sn at (0.0000, 0.0799, 0.4114), Pb at (0.0000, 0.3430, 0.2225), Pb at (0.0000, 0.4552, 0.6210), S at (0.0000, 0.0474, 0.7377), S at (0.0000, 0.0666, 0.9947), S at (0.0000, 0.2546, 0.3888), S at (0.0000, 0.2842, 0.6154) and S at (0.0000, 0.3841, 0.0177).

The value obtained for the formation energy without anion corrections is -0.6987 eV/atom. The calculation puts the total moment at 12.0 μB/cell.

No. 2
The following is a GGA-PBE calculation of a relaxed NpTl3Pb2S6 crystal, from Alexandria.

The structure belongs to space group C2/m (No. 12); the cell edges are 7.3224, 12.5709 and 7.6956 Å and the angles 90.00°, 108.01° and 90.00°. The asymmetric unit holds Np at (0.0000, 0.0000, 0.0000), Tl at (0.0000, 0.1685, 0.5000), Tl at (0.0000, 0.5000, 0.5000), Pb at (0.0000, 0.3335, 0.0000), S at (0.2156, 0.1486, 0.2025) and S at (0.2254, 0.0000, 0.7871).

The value obtained for the formation energy without anion corrections is -0.6863 eV/atom. The calculation puts the total moment at 4.0 μB/cell.